Material: Na2Zr2As
Method: DFT, PBE
State: optimized geometry

Results
The calculation puts the density at 3.618 g cm⁻³. As for the total moment: 0.00 Bohr magnetons per cell. Its relative energy among the computed polymorphs is 0 meV/atom. Its final energy is -4.84 eV/atom. As for the space-group type: No. 127. Its density of states at the Fermi level is 1.786 states/eV/atom. As for the energy of formation from the pure elements: 4 kJ per mole of atoms.

Cell: 6.838 6.838 5.955 Å, 90.00 90.00 90.00°
Fractional positions:
Na (0.165, 0.665, 0.500)
Na (0.665, 0.835, 0.500)
Na (0.835, 0.335, 0.500)
Na (0.335, 0.165, 0.500)
As (0.000, 0.000, 0.000)
As (0.500, 0.500, 0.000)
Zr (0.353, 0.853, 0.000)
Zr (0.853, 0.647, 0.000)
Zr (0.647, 0.147, 0.000)
Zr (0.147, 0.353, 0.000)